Entry 1:
Here is ErTmRhAu after structural relaxation from Alexandria. Energies are from PBE-GGA.

## Properties
calculated volume: 84.0 Å³ per cell
energy relative to the elements: -899 meV per atom
size of the total moment: 0.00 μB/f.u.
ΔE to the lowest computed polymorph: 0 meV/atom
crystal system: tetragonal
D(E_F): 1.183 states/eV per atom

Cell and atoms, written as extended XYZ:
```
4
Lattice="3.491 0.000 0.000 0.000 3.491 0.000 0.000 0.000 6.897" Properties=species:S:1:pos:R:3 pbc="T T T"
Er 0.000 0.000 0.000
Tm 0.000 0.000 3.271
Rh 1.745 1.745 1.646
Au 1.745 1.745 5.067
```

Entry 2:
Here is ErZnRhAu after structural relaxation from Alexandria. Energies are from PBE-GGA.

## Properties
calculated volume: 289.3 Å³ per cell
energy relative to the elements: -592 meV per atom
size of the total moment: 0.00 μB/f.u.
crystal system: cubic
D(E_F): 0.555 states/eV per atom

Cell and atoms, written as extended XYZ:
```
16
Lattice="6.614 0.000 0.000 0.000 6.614 0.000 0.000 0.000 6.614" Properties=species:S:1:pos:R:3 pbc="T T T"
Er 0.000 0.000 0.000
Er 0.000 3.307 3.307
Er 3.307 0.000 3.307
Er 3.307 3.307 0.000
Zn 0.000 0.000 3.307
Zn 0.000 3.307 0.000
Zn 3.307 0.000 0.000
Zn 3.307 3.307 3.307
Rh 1.654 1.654 4.961
Rh 1.654 4.961 1.654
Rh 4.961 1.654 1.654
Rh 4.961 4.961 4.961
Au 1.654 1.654 1.654
Au 1.654 4.961 4.961
Au 4.961 1.654 4.961
Au 4.961 4.961 1.654
```

Entry 3:
Here is ErZrRhAu after structural relaxation from Alexandria. Energies are from PBE-GGA.

## Properties
calculated volume: 321.2 Å³ per cell
energy relative to the elements: -690 meV per atom
size of the total moment: 0.00 μB/f.u.
crystal system: cubic
D(E_F): 0.672 states/eV per atom

Cell and atoms, written as extended XYZ:
```
16
Lattice="6.849 0.000 0.000 0.000 6.849 0.000 0.000 0.000 6.849" Properties=species:S:1:pos:R:3 pbc="T T T"
Er 0.000 0.000 0.000
Er 0.000 3.424 3.424
Er 3.424 0.000 3.424
Er 3.424 3.424 0.000
Zr 0.000 0.000 3.424
Zr 0.000 3.424 0.000
Zr 3.424 0.000 0.000
Zr 3.424 3.424 3.424
Rh 1.712 1.712 1.712
Rh 1.712 5.136 5.136
Rh 5.136 1.712 5.136
Rh 5.136 5.136 1.712
Au 1.712 1.712 5.136
Au 1.712 5.136 1.712
Au 5.136 1.712 1.712
Au 5.136 5.136 5.136
```

Entry 4:
Here is Er5RuAu2 after structural relaxation from Alexandria. Energies are from PBE-GGA.

## Properties
calculated volume: 391.3 Å³ per cell
energy relative to the elements: -615 meV per atom
size of the total moment: 0.00 μB/f.u.
crystal system: orthorhombic
D(E_F): 0.828 states/eV per atom

Cell and atoms, written as extended XYZ:
```
16
Lattice="7.186 0.000 0.000 0.000 11.615 0.000 0.000 0.000 4.688" Properties=species:S:1:pos:R:3 pbc="T T T"
Er 0.000 0.000 0.000
Er 1.096 3.403 0.000
Er 1.290 6.796 2.344
Er 2.303 0.989 2.344
Er 2.497 9.211 0.000
Er 3.593 5.807 0.000
Er 4.689 2.404 0.000
Er 4.883 10.626 2.344
Er 5.896 4.819 2.344
Er 6.090 8.212 0.000
Ru 0.000 5.807 0.000
Ru 3.593 0.000 0.000
Au 0.505 9.725 2.344
Au 3.088 3.918 2.344
Au 4.098 7.697 2.344
Au 6.681 1.890 2.344
```

Entry 5:
Here is Er4RuAu3 after structural relaxation from Alexandria. Energies are from PBE-GGA.

## Properties
calculated volume: 174.5 Å³ per cell
energy relative to the elements: -781 meV per atom
size of the total moment: 0.00 μB/f.u.
crystal system: tetragonal
D(E_F): 0.676 states/eV per atom

Cell and atoms, written as extended XYZ:
```
8
Lattice="3.490 0.000 0.000 0.000 3.490 0.000 0.000 0.000 14.326" Properties=species:S:1:pos:R:3 pbc="T T T"
Er 0.000 0.000 1.638
Er 0.000 0.000 5.318
Er 0.000 0.000 9.008
Er 0.000 0.000 12.688
Ru 1.745 1.745 0.000
Au 1.745 1.745 3.522
Au 1.745 1.745 7.163
Au 1.745 1.745 10.804
```

Entry 6:
Here is Er6RuAu after structural relaxation from Alexandria. Energies are from PBE-GGA.

## Properties
calculated volume: 473.2 Å³ per cell
energy relative to the elements: -221 meV per atom
size of the total moment: 0.00 μB/f.u.
crystal system: monoclinic
D(E_F): 1.068 states/eV per atom

Cell and atoms, written as extended XYZ:
```
16
Lattice="6.760 0.000 0.000 0.000 10.969 0.000 -2.255 0.000 6.381" Properties=species:S:1:pos:R:3 pbc="T T T"
Er 1.040 1.959 1.513
Er 1.040 9.010 1.513
Er -0.044 0.000 4.892
Er 1.170 5.485 1.489
Er 0.085 3.526 4.868
Er 0.085 7.444 4.868
Er 4.420 3.526 1.513
Er 4.420 7.444 1.513
Er 3.336 5.485 4.892
Er 4.550 0.000 1.489
Er 3.466 1.959 4.868
Er 3.466 9.010 4.868
Ru 0.000 0.000 0.000
Ru 3.380 5.485 0.000
Au -1.127 5.485 3.190
Au 2.253 0.000 3.190
```

Entry 7:
Here is Er8Ru2Au after structural relaxation from Alexandria. Energies are from PBE-GGA.

## Properties
calculated volume: 277.5 Å³ per cell
energy relative to the elements: -364 meV per atom
size of the total moment: 0.00 μB/f.u.
ΔE to the lowest computed polymorph: 0 meV/atom
crystal system: monoclinic
D(E_F): 1.010 states/eV per atom

Cell and atoms, written as extended XYZ:
```
11
Lattice="8.707 -2.422 0.000 8.707 2.422 0.000 -2.129 0.000 6.580" Properties=species:S:1:pos:R:3 pbc="T T T"
Er 0.007 0.000 1.823
Er 1.804 0.000 5.375
Er 4.564 0.000 3.526
Er 6.940 0.000 0.220
Er 8.344 0.000 6.360
Er 10.720 0.000 3.054
Er 13.480 0.000 1.205
Er 15.277 0.000 4.758
Ru 2.816 0.000 1.338
Ru 12.468 0.000 5.243
Au 7.642 0.000 3.290
```

Entry 8:
Here is Er8Ru2Au after structural relaxation from Alexandria. Energies are from PBE-GGA.

## Properties
calculated volume: 289.7 Å³ per cell
energy relative to the elements: -317 meV per atom
size of the total moment: 0.00 μB/f.u.
ΔE to the lowest computed polymorph: 47 meV/atom
crystal system: monoclinic
D(E_F): 0.888 states/eV per atom

Cell and atoms, written as extended XYZ:
```
11
Lattice="4.254 -6.297 0.000 4.254 6.297 0.000 -1.576 0.000 5.407" Properties=species:S:1:pos:R:3 pbc="T T T"
Er 0.000 0.000 0.000
Er 0.468 1.666 3.248
Er 2.847 2.926 1.027
Er 0.468 -1.666 3.248
Er 3.626 1.655 4.239
Er 2.847 -2.926 1.027
Er 3.626 -1.655 4.239
Er 5.757 0.000 2.084
Ru 2.051 3.926 3.749
Ru 2.051 -3.926 3.749
Au 3.056 0.000 0.447
```